No. 1
# AcMg7Al5 (GGA-PBE, optimized geometry)
# DOS(E_F): 0.283 states/eV/atom
data_AcMg7Al5
_chemical_formula_sum 'Ac2 Mg14 Al10'
_space_group_name_H-M_alt 'I m m 2'
_space_group_IT_number 44
_cell_length_a 5.664
_cell_length_b 9.954
_cell_length_c 10.010
_cell_angle_alpha 90.00
_cell_angle_beta 90.00
_cell_angle_gamma 90.00
loop_
_space_group_symop_operation_xyz
'x,y,z'
'-x,-y,z'
'-x,y,z'
'x,-y,z'
'x+1/2,y+1/2,z+1/2'
'-x+1/2,-y+1/2,z+1/2'
'-x+1/2,y+1/2,z+1/2'
'x+1/2,-y+1/2,z+1/2'
loop_
_atom_site_label
_atom_site_type_symbol
_atom_site_fract_x
_atom_site_fract_y
_atom_site_fract_z
_atom_site_occupancy
Ac1 Ac 0.000 0.000 0.000 1
Mg1 Mg 0.000 0.000 0.346 1
Mg2 Mg 0.000 0.000 0.642 1
Mg3 Mg 0.000 0.287 0.492 1
Mg4 Mg 0.000 0.353 0.990 1
Mg5 Mg 0.000 0.500 0.271 1
Al1 Al 0.000 0.500 0.707 1
Al2 Al 0.249 0.245 0.242 1

***

No. 2
# Ac2MgAl3 (GGA-PBE, optimized geometry)
# DOS(E_F): 1.015 states/eV/atom
data_Ac2MgAl3
_chemical_formula_sum 'Ac4 Mg2 Al6'
_space_group_name_H-M_alt 'I m m 2'
_space_group_IT_number 44
_cell_length_a 4.368
_cell_length_b 4.871
_cell_length_c 16.392
_cell_angle_alpha 90.00
_cell_angle_beta 90.00
_cell_angle_gamma 90.00
loop_
_space_group_symop_operation_xyz
'x,y,z'
'-x,-y,z'
'-x,y,z'
'x,-y,z'
'x+1/2,y+1/2,z+1/2'
'-x+1/2,-y+1/2,z+1/2'
'-x+1/2,y+1/2,z+1/2'
'x+1/2,-y+1/2,z+1/2'
loop_
_atom_site_label
_atom_site_type_symbol
_atom_site_fract_x
_atom_site_fract_y
_atom_site_fract_z
_atom_site_occupancy
Ac1 Ac 0.000 0.000 0.000 1
Ac2 Ac 0.000 0.500 0.272 1
Mg1 Mg 0.000 0.000 0.596 1
Al1 Al 0.000 0.000 0.426 1
Al2 Al 0.000 0.500 0.680 1
Al3 Al 0.000 0.500 0.841 1

***

Number 1: DFT total energy -2.7298 eV per atom. Number 2: DFT total energy -3.7859 eV per atom.